1.
Below is an optimized crystal structure of Ce2InAgIr, with properties calculated at the PBE-GGA level.

```
10
Lattice="-3.077 1.483 2.114 2.437 -4.210 6.499 3.548 7.249 0.080" Properties=species:S:1:pos:R:3 pbc="T T T"
Ce 2.198 2.102 7.448
Ce -0.570 -1.845 6.188
Ce 0.710 2.419 1.245
Ce 3.478 6.366 2.505
In 2.042 -0.181 5.006
In 0.867 4.703 3.687
Ag 2.863 2.691 4.187
Ag 0.046 1.831 4.506
Ir 4.567 3.108 6.374
Ir -1.659 1.413 2.318
```

Properties
DOS(E_F) = 1.91 states/eV per atom
volume = 124.4 Å³/f.u.
DFT formation energy = -0.431 eV/atom
raw total energy = -0.20927 hartree per atom


2.
Below is an optimized crystal structure of Dy2ThAl6, with properties calculated at the PBE-GGA level.

```
9
Lattice="4.346 0.000 0.000 2.173 7.582 1.131 2.173 3.260 6.938" Properties=species:S:1:pos:R:3 pbc="T T T"
Dy 2.173 1.359 1.011
Dy 6.520 9.484 7.058
Th 4.346 5.421 4.035
Al 2.173 4.275 1.458
Al 6.520 6.568 6.611
Al 6.520 8.219 4.393
Al 2.173 4.048 5.880
Al 2.173 6.795 2.189
Al 2.173 2.624 3.676
```

Properties
DOS(E_F) = 0.90 states/eV per atom
volume = 212.6 Å³/f.u.
DFT formation energy = -0.211 eV/atom
raw total energy = -0.16733 hartree per atom


3.
Below is an optimized crystal structure of Ba2ScHg2O6, with properties calculated at the PBE-GGA level.

```
11
Lattice="6.397 0.000 0.000 3.199 5.540 0.000 3.199 1.847 5.736" Properties=species:S:1:pos:R:3 pbc="T T T"
Ba 9.596 5.540 3.590
Ba 3.199 1.847 2.146
Sc 0.000 0.000 0.000
Hg 6.397 3.694 4.391
Hg 6.397 3.694 1.345
O 8.239 4.757 1.442
O 4.556 4.757 1.442
O 6.397 1.567 1.442
O 6.397 5.820 4.294
O 8.239 2.630 4.294
O 4.556 2.630 4.294
```

Properties
DOS(E_F) = 0.61 states/eV per atom
volume = 203.3 Å³/f.u.
raw total energy = -0.19742 hartree per atom
ΔE_f (raw) = -1.6876 eV/atom


Question: The lowest DOS(E_F) belongs to which entry?
Answer: Ba2ScHg2O6